Below is an optimized crystal structure of K2CuPt, with properties calculated at the PBEsol level.

a b c (Å): 3.077 3.867 9.562
angles (deg): 90.00 90.00 90.00
Space group Pmm2 (No. 25)
Symmetry-distinct sites (fractional):
K1 0.000 0.000 0.000 x1
K2 0.500 0.500 0.439 x1
Cu1 0.500 0.500 0.741 x1
Pt1 0.000 0.000 0.691 x1

Calculated values
As for the total energy: -3.2199 eV per atom. As for the formation energy from the elements: 0.68 eV per formula unit. The calculation puts the offset from the most stable computed form at 0 meV/atom.



Below is an optimized crystal structure of Ca3TbMn4O12, with properties calculated at the PBEsol level.

a b c (Å): 5.241 7.427 5.336
angles (deg): 90.00 90.18 90.00
Space group Pm (No. 6)
Symmetry-distinct sites (fractional):
Ca1 0.000 0.000 0.000 x1
Ca2 0.021 0.500 0.092 x1
Ca3 0.501 0.500 0.591 x1
Tb1 0.521 0.000 0.492 x1
Mn1 0.011 0.252 0.547 x2
Mn2 0.509 0.252 0.043 x2
O1 0.093 0.000 0.563 x1
O2 0.216 0.289 0.838 x2
O3 0.305 0.283 0.341 x2
O4 0.435 0.000 0.063 x1
O5 0.587 0.500 0.031 x1
O6 0.715 0.207 0.753 x2
O7 0.794 0.204 0.263 x2
O8 0.936 0.500 0.527 x1

Calculated values
As for the total energy: -8.1043 eV per atom. As for the formation energy without anion corrections: -2.432 eV/atom.



Below is an optimized crystal structure of Tc2P3, with properties calculated at the PBEsol level.

a b c (Å): 6.201 6.302 7.650
angles (deg): 96.03 101.62 104.24
Space group P-1 (No. 2)
Symmetry-distinct sites (fractional):
Tc1 0.039 0.363 0.362 x2
Tc2 0.121 0.082 0.860 x2
Tc3 0.402 0.917 0.145 x2
Tc4 0.423 0.630 0.632 x2
P1 0.037 0.683 0.962 x2
P2 0.129 0.347 0.678 x2
P3 0.236 0.077 0.362 x2
P4 0.265 0.937 0.619 x2
P5 0.362 0.638 0.318 x2
P6 0.467 0.323 0.044 x2

Calculated values
As for the total energy: -8.5993 eV per atom. As for the formation energy from the elements: -3.09 eV per formula unit. The calculation puts the offset from the most stable computed form at 0 meV/atom.



Below is an optimized crystal structure of LaFe2GeH, with properties calculated at the PBEsol level.

a b c (Å): 4.130 4.130 4.483
angles (deg): 90.00 90.00 90.00
Space group P4/mmm (No. 123)
Symmetry-distinct sites (fractional):
La1 0.000 0.000 0.000 x1
Fe1 0.000 0.500 0.500 x2
Ge1 0.500 0.500 0.000 x1
H1 0.000 0.000 0.500 x1

Calculated values
As for the total energy: -6.0507 eV per atom.



Below is an optimized crystal structure of BiMoAs2Br, with properties calculated at the PBEsol level.

a b c (Å): 4.831 4.831 5.153
angles (deg): 90.00 90.00 90.00
Space group P4/mmm (No. 123)
Symmetry-distinct sites (fractional):
Bi1 0.000 0.000 0.000 x1
Mo1 0.500 0.500 0.500 x1
As1 0.000 0.500 0.500 x2
Br1 0.500 0.500 0.000 x1

Calculated values
As for the total energy: -5.2142 eV per atom. As for the formation energy without anion corrections: 0.413 eV/atom.



Below is an optimized crystal structure of Zn3BSe, with properties calculated at the PBEsol level.

a b c (Å): 4.782 4.782 4.782
angles (deg): 90.00 90.00 90.00
Space group Pm-3m (No. 221)
Symmetry-distinct sites (fractional):
Zn1 0.000 0.000 0.500 x3
B1 0.500 0.500 0.500 x1
Se1 0.000 0.000 0.000 x1

Calculated values
As for the total energy: -1.7055 eV per atom. As for the formation energy without anion corrections: 1.417 eV/atom.



Below is an optimized crystal structure of KOsPt, with properties calculated at the PBEsol level.

a b c (Å): 6.252 6.252 6.252
angles (deg): 90.00 90.00 90.00
Space group F-43m (No. 216)
Symmetry-distinct sites (fractional):
K1 0.000 0.000 0.000 x4
Os1 0.250 0.250 0.250 x4
Pt1 0.000 0.000 0.500 x4

Calculated values
As for the total energy: -5.0673 eV per atom. As for the formation energy from the elements: 5.11 eV per formula unit.



Below is an optimized crystal structure of Br5Cl, with properties calculated at the PBEsol level.

a b c (Å): 15.686 3.794 6.628
angles (deg): 90.00 101.40 90.00
Space group Cm (No. 8)
Symmetry-distinct sites (fractional):
Br1 0.000 0.000 0.000 x2
Br2 0.079 0.000 0.342 x2
Br3 0.244 0.500 0.998 x2
Br4 0.331 0.000 0.325 x2
Br5 0.413 0.000 0.671 x2
Cl1 0.168 0.500 0.676 x2

Calculated values
As for the total energy: -1.7959 eV per atom. As for the formation energy without anion corrections: 0.097 eV/atom.



Below is an optimized crystal structure of Mn2TlAu, with properties calculated at the PBEsol level.

a b c (Å): 4.162 4.162 3.805
angles (deg): 90.00 90.00 90.00
Space group P4/mmm (No. 123)
Symmetry-distinct sites (fractional):
Mn1 0.000 0.500 0.000 x2
Tl1 0.000 0.000 0.500 x1
Au1 0.500 0.500 0.500 x1

Calculated values
As for the total energy: -6.1643 eV per atom. As for the formation energy from the elements: 1.42 eV per formula unit. The calculation puts the offset from the most stable computed form at 0 meV/atom.



Below is an optimized crystal structure of KCd4Si, with properties calculated at the PBEsol level.

a b c (Å): 8.286 8.286 8.286
angles (deg): 90.00 90.00 90.00
Space group F-43m (No. 216)
Symmetry-distinct sites (fractional):
K1 0.000 0.000 0.000 x4
Cd1 0.125 0.125 0.375 x16
Si1 0.250 0.250 0.750 x4

Calculated values
As for the total energy: -1.7143 eV per atom. As for the formation energy without anion corrections: 0.230 eV/atom.



Below is an optimized crystal structure of Zn3B7IO13, with properties calculated at the PBEsol level.

a b c (Å): 8.596 8.594 12.161
angles (deg): 90.00 90.00 90.00
Space group Pca2_1 (No. 29)
Symmetry-distinct sites (fractional):
Zn1 0.010 0.027 0.000 x4
Zn2 0.011 0.474 0.003 x4
Zn3 0.241 0.251 0.276 x4
B1 0.000 0.002 0.754 x4
B2 0.001 0.497 0.754 x4
B3 0.049 0.751 0.155 x4
B4 0.094 0.750 0.681 x4
B5 0.244 0.753 0.007 x4
B6 0.246 0.598 0.834 x4
B7 0.246 0.903 0.833 x4
I1 0.242 0.250 0.000 x4
O1 0.033 0.163 0.232 x4
O2 0.040 0.330 0.731 x4
O3 0.041 0.911 0.151 x4
O4 0.050 0.590 0.660 x4
O5 0.087 0.543 0.853 x4
O6 0.091 0.943 0.348 x4
O7 0.120 0.671 0.071 x4
O8 0.141 0.826 0.579 x4
O9 0.166 0.026 0.774 x4
O10 0.166 0.482 0.273 x4
O11 0.171 0.873 0.939 x4
O12 0.178 0.637 0.437 x4
O13 0.232 0.750 0.764 x4

Calculated values
As for the total energy: -7.3269 eV per atom. As for the formation energy without anion corrections: -2.166 eV/atom. The calculation puts the offset from the most stable computed form at 0 meV/atom.



Below is an optimized crystal structure of TlCrGe2, with properties calculated at the PBEsol level.

a b c (Å): 6.789 6.789 6.789
angles (deg): 90.00 90.00 90.00
Space group Fm-3m (No. 225)
Symmetry-distinct sites (fractional):
Tl1 0.000 0.000 0.000 x4
Cr1 0.000 0.000 0.500 x4
Ge1 0.250 0.250 0.250 x8

Calculated values
As for the total energy: -5.1251 eV per atom. As for the formation energy from the elements: 2.25 eV per formula unit.



Below is an optimized crystal structure of ZnRh2Br, with properties calculated at the PBEsol level.

a b c (Å): 3.031 3.031 6.397
angles (deg): 90.00 90.00 90.00
Space group P4/mmm (No. 123)
Symmetry-distinct sites (fractional):
Zn1 0.000 0.000 0.000 x1
Rh1 0.500 0.500 0.228 x2
Br1 0.000 0.000 0.500 x1

Calculated values
As for the total energy: -4.7362 eV per atom. As for the formation energy without anion corrections: 0.196 eV/atom. The calculation puts the offset from the most stable computed form at 0 meV/atom.



Below is an optimized crystal structure of ReNiIr2, with properties calculated at the PBEsol level.

a b c (Å): 2.681 3.764 5.299
angles (deg): 90.00 90.00 90.00
Space group Pmm2 (No. 25)
Symmetry-distinct sites (fractional):
Re1 0.000 0.000 0.000 x1
Ni1 0.500 0.500 0.762 x1
Ir1 0.000 0.000 0.527 x1
Ir2 0.500 0.500 0.250 x1

Calculated values
As for the total energy: -9.8324 eV per atom. As for the formation energy from the elements: -0.19 eV per formula unit. The calculation puts the offset from the most stable computed form at 81 meV/atom.



Below is an optimized crystal structure of BaCaZn4, with properties calculated at the PBEsol level.

a b c (Å): 8.019 8.019 8.019
angles (deg): 90.00 90.00 90.00
Space group F-43m (No. 216)
Symmetry-distinct sites (fractional):
Ba1 0.000 0.000 0.000 x4
Ca1 0.250 0.250 0.250 x4
Zn1 0.124 0.124 0.624 x16

Calculated values
As for the total energy: -1.9198 eV per atom. As for the formation energy from the elements: -0.91 eV per formula unit.



Below is an optimized crystal structure of Co3HRu, with properties calculated at the PBEsol level.

a b c (Å): 4.366 4.366 4.366
angles (deg): 90.00 90.00 90.00
Space group Pm-3m (No. 221)
Symmetry-distinct sites (fractional):
Co1 0.000 0.000 0.500 x3
H1 0.500 0.500 0.500 x1
Ru1 0.000 0.000 0.000 x1

Calculated values
As for the total energy: -5.1750 eV per atom.



Below is an optimized crystal structure of SrInPt2, with properties calculated at the PBEsol level.

a b c (Å): 4.5942 4.5942 15.3289
angles (deg): 90.00 90.00 120.00
Space group R-3m (No. 166, hexagonal axes)
Symmetry-distinct sites (fractional):
Sr1 0.0000 0.0000 0.0000 x3
In1 0.0000 0.0000 0.5000 x3
Pt1 0.0000 0.0000 0.1984 x6

Calculated values
As for the total energy: -5.3228 eV per atom. As for the formation energy from the elements: -2.54 eV per formula unit.



Below is an optimized crystal structure of BeInSeF2, with properties calculated at the PBEsol level.

a b c (Å): 3.990 3.990 5.921
angles (deg): 90.00 90.00 90.00
Space group P4/mmm (No. 123)
Symmetry-distinct sites (fractional):
Be1 0.000 0.000 0.000 x1
In1 0.000 0.000 0.500 x1
Se1 0.500 0.500 0.000 x1
F1 0.000 0.500 0.500 x2

Calculated values
As for the total energy: -3.6399 eV per atom. As for the formation energy without anion corrections: -0.702 eV/atom.



Below is an optimized crystal structure of Sr2Li2Au, with properties calculated at the PBEsol level.

a b c (Å): 3.867 3.867 19.254
angles (deg): 90.00 90.00 90.00
Space group I4/mmm (No. 139)
Symmetry-distinct sites (fractional):
Sr1 0.000 0.000 0.092 x4
Li1 0.000 0.500 0.250 x4
Au1 0.000 0.000 0.500 x2

Calculated values
As for the total energy: -2.5482 eV per atom. As for the formation energy from the elements: -1.20 eV per formula unit.



Below is an optimized crystal structure of Cu2TeCl, with properties calculated at the PBEsol level.

a b c (Å): 8.074 3.531 6.061
angles (deg): 90.00 97.42 90.00
Space group Cm (No. 8)
Symmetry-distinct sites (fractional):
Cu1 0.000 0.000 0.000 x2
Cu2 0.210 0.500 0.084 x2
Te1 0.427 0.000 0.276 x2
Cl1 0.153 0.000 0.732 x2

Calculated values
As for the total energy: -3.6658 eV per atom. As for the formation energy without anion corrections: -0.115 eV/atom. The calculation puts the offset from the most stable computed form at 83 meV/atom.



Number 1: volume 28.447 A^3/atom. Number 2: volume 10.384 A^3/atom. Number 3: volume 14.004 A^3/atom. Number 4: volume 15.296 A^3/atom. Number 5: volume 24.049 A^3/atom. Number 6: volume 21.866 A^3/atom. Number 7: volume 20.367 A^3/atom. Number 8: volume 32.219 A^3/atom. Number 9: volume 16.477 A^3/atom. Number 10: volume 23.702 A^3/atom. Number 11: volume 9.358 A^3/atom. Number 12: volume 19.556 A^3/atom. Number 13: volume 14.697 A^3/atom. Number 14: volume 13.370 A^3/atom. Number 15: volume 21.487 A^3/atom. Number 16: volume 16.641 A^3/atom. Number 17: volume 23.349 A^3/atom. Number 18: volume 18.851 A^3/atom. Number 19: volume 28.793 A^3/atom. Number 20: volume 21.416 A^3/atom.